{"formula": "Na2MnTeO", "functional": "PBE with a Hubbard U", "state": "relaxed", "polymorph_energy_mev_per_atom": 0, "space_group": "P4/mmm", "energy_ev_per_atom": -4.699, "lattice_angstrom": [[-2.128, 4.266, -0.065], [-3.713, -1.888, -2.320], [-1.856, -0.870, 3.676]], "species": ["Mn", "Na", "Na", "O", "Te"], "fractional_positions": [[0.000, 0.000, 0.500], [0.500, 0.000, 0.000], [0.000, 0.500, 0.000], [0.000, 0.000, 0.000], [0.500, 0.500, 0.500]]}